First-principles (PBE) data for a relaxed Ac2Ni6GePt crystal, as listed in Alexandria via LeMat-Bulk.

Summary:
N(E_F) = 7.74 states/eV per cell
final energy = -56.90 eV per cell
total magnetization = 0.00 μB per cell
crystal system = triclinic

a = 6.435 Å, b = 6.206 Å, c = 6.184 Å
α = 62.66°, β = 58.87°, γ = 90.24°
Atoms (fractional coordinates):
Ac 0.699 0.300 0.602
Ac 0.301 0.700 0.398
Ni 0.170 0.114 0.500
Ni 0.886 0.669 0.945
Ni 0.329 0.830 0.786
Ni 0.671 0.170 0.214
Ni 0.114 0.331 0.055
Ni 0.830 0.886 0.500
Ge 0.000 0.000 0.000
Pt 0.500 0.500 0.000

First-principles (PBE) data for a relaxed Ca2RePd2 crystal, as listed in Alexandria via LeMat-Bulk.

Summary:
N(E_F) = 8.71 states/eV per cell
final energy = -53.74 eV per cell
total magnetization = 0.00 μB per cell
crystal system = tetragonal

a = 6.753 Å, b = 6.753 Å, c = 4.638 Å
α = 90.00°, β = 90.00°, γ = 90.00°
Atoms (fractional coordinates):
Re 0.000 0.000 0.000
Re 0.500 0.500 0.000
Ca 0.177 0.677 0.500
Ca 0.677 0.823 0.500
Ca 0.823 0.323 0.500
Ca 0.323 0.177 0.500
Pd 0.359 0.859 0.000
Pd 0.859 0.641 0.000
Pd 0.641 0.141 0.000
Pd 0.141 0.359 0.000

First-principles (PBE) data for a relaxed NbSi2BS crystal, as listed in Alexandria via LeMat-Bulk.

Summary:
N(E_F) = 3.33 states/eV per cell
formation energy from raw total energies = 0.482 eV/atom
final energy = -29.31 eV per cell
total magnetization = 0.00 μB per cell
crystal system = tetragonal

a = 3.897 Å, b = 4.799 Å, c = 3.897 Å
α = 90.00°, β = 90.00°, γ = 90.00°
Atoms (fractional coordinates):
Nb 0.000 0.500 0.000
B 0.000 0.000 0.000
Si 0.000 0.000 0.500
Si 0.500 0.000 0.000
S 0.500 0.500 0.500